a) ## MgMoF2 (GGA+U)

Data for a relaxed MgMoF2 crystal.

Values from the calculation:
Magnetic moment in μB/f.u.: 0.01
Space-group type: R-3m (166)
DOS at the Fermi energy in states/eV/f.u.: 1.65

Cell lengths 8.9969, 8.9969, 8.9969 Å; angles 18.24, 18.24, 18.24 degrees
Positions (direct):
1 F 0.1276 0.1276 0.1276
2 F 0.8724 0.8724 0.8724
3 Mg 0.5000 0.5000 0.5000
4 Mo 0.0000 0.0000 0.0000

---

b) ## MgMoF2 (GGA+U)

Data for a relaxed MgMoF2 crystal.

Values from the calculation:
Magnetic moment in μB/f.u.: 5.51
Space-group type: I-42d (122)
DOS at the Fermi energy in states/eV/f.u.: 0.73

Cell lengths 6.0350, 6.0350, 6.2243 Å; angles 61.00, 61.00, 90.00 degrees
Positions (direct):
1 F 0.4059 0.1250 0.2500
2 F 0.8750 0.6559 0.7500
3 F 0.3750 0.5941 0.7500
4 F 0.3441 0.6250 0.2500
5 Mg 0.5000 0.5000 0.0000
6 Mg 0.2500 0.7500 0.5000
7 Mo 0.0000 0.0000 0.0000
8 Mo 0.7500 0.2500 0.5000

---

c) ## MgMoF2 (GGA+U)

Data for a relaxed MgMoF2 crystal.

Values from the calculation:
Magnetic moment in μB/f.u.: 1.67
Space-group type: R-3m (166)
DOS at the Fermi energy in states/eV/f.u.: 1.32

Cell lengths 7.7124, 7.7124, 7.7124 Å; angles 23.05, 23.05, 23.05 degrees
Positions (direct):
1 Mo 0.5000 0.5000 0.5000
2 F 0.9011 0.9011 0.9011
3 F 0.0989 0.0989 0.0989
4 Mg 0.0000 0.0000 0.0000

---

d) ## MgMoF2 (GGA+U)

Data for a relaxed MgMoF2 crystal.

Values from the calculation:
Magnetic moment in μB/f.u.: 4.99
Space-group type: Fm-3m (225)
DOS at the Fermi energy in states/eV/f.u.: 1.19

Cell lengths 4.4555, 4.4555, 4.4555 Å; angles 60.00, 60.00, 60.00 degrees
Positions (direct):
1 F 0.7500 0.7500 0.7500
2 F 0.2500 0.2500 0.2500
3 Mg 0.0000 0.0000 0.0000
4 Mo 0.5000 0.5000 0.5000

---

Least stable = d)

---

a) ## MgMo2F (GGA+U)

Data for a relaxed MgMo2F crystal.

Values from the calculation:
Magnetic moment in μB/f.u.: 9.32
Space-group type: I-42d (122)
DOS at the Fermi energy in states/eV/f.u.: 1.75

Cell lengths 4.4685, 4.4685, 10.2016 Å; angles 77.35, 77.35, 90.00 degrees
Positions (direct):
1 Mo 0.8750 0.8597 0.7500
2 Mo 0.6097 0.1250 0.2500
3 Mo 0.3750 0.3903 0.7500
4 Mo 0.1403 0.6250 0.2500
5 Mg 0.7500 0.2500 0.5000
6 Mg 0.0000 0.0000 0.0000
7 F 0.2500 0.7500 0.5000
8 F 0.5000 0.5000 0.0000

---

b) ## MgMo2F (GGA+U)

Data for a relaxed MgMo2F crystal.

Values from the calculation:
Magnetic moment in μB/f.u.: 0.00
Space-group type: Fm-3m (225)
DOS at the Fermi energy in states/eV/f.u.: 4.05

Cell lengths 4.4672, 4.4672, 4.4672 Å; angles 60.00, 60.00, 60.00 degrees
Positions (direct):
1 Mo 0.2500 0.2500 0.2500
2 Mo 0.7500 0.7500 0.7500
3 Mg 0.5000 0.5000 0.5000
4 F 0.0000 0.0000 0.0000

---

Least stable = b)

---

a) ## Mg2MoF (GGA+U)

Data for a relaxed Mg2MoF crystal.

Values from the calculation:
Magnetic moment in μB/f.u.: 4.75
Space-group type: I-42d (122)
DOS at the Fermi energy in states/eV/f.u.: 0.98

Cell lengths 6.7381, 6.7381, 5.8974 Å; angles 55.16, 55.16, 90.00 degrees
Positions (direct):
1 F 0.5000 0.5000 0.0000
2 F 0.2500 0.7500 0.5000
3 Mg 0.2293 0.6250 0.2500
4 Mg 0.8750 0.7707 0.7500
5 Mg 0.3750 0.4793 0.7500
6 Mg 0.5207 0.1250 0.2500
7 Mo 0.0000 0.0000 0.0000
8 Mo 0.7500 0.2500 0.5000

---

b) ## Mg2MoF (GGA+U)

Data for a relaxed Mg2MoF crystal.

Values from the calculation:
Magnetic moment in μB/f.u.: 4.54
Space-group type: Fm-3m (225)
DOS at the Fermi energy in states/eV/f.u.: 1.06

Cell lengths 4.9096, 4.9096, 4.9096 Å; angles 60.00, 60.00, 60.00 degrees
Positions (direct):
1 Mg 0.2500 0.2500 0.2500
2 Mg 0.7500 0.7500 0.7500
3 F 0.0000 0.0000 0.0000
4 Mo 0.5000 0.5000 0.5000

---

Least stable = b)